(i)
{
  "formula": "CsGeN2F",
  "functional": "PBE",
  "state": "optimized geometry",
  "lattice_angstrom": [[3.8296, 0.0000, 0.0000], [0.0000, 3.8296, 0.0000], [0.0000, 0.0000, 5.6741]],
  "species": ["Cs", "Ge", "N", "N", "F"],
  "frac_coords": [[0.0000, 0.0000, 0.0000], [0.5000, 0.5000, 0.5000], [0.0000, 0.5000, 0.5000], [0.5000, 0.0000, 0.5000], [0.5000, 0.5000, 0.0000]],
  "dos_at_fermi_per_ev_fu": 1.9,
  "m_tot_mub_per_atom": 0.066,
  "density_g_cm3": 5.04,
  "crystal_system": "tetragonal"
}

***

(ii)
{
  "formula": "CsGeN2F",
  "functional": "PBE",
  "state": "optimized geometry",
  "lattice_angstrom": [[4.4015, 0.0000, 0.0000], [0.0000, 4.4015, 0.0000], [0.0000, 0.0000, 4.9818]],
  "species": ["Cs", "Ge", "N", "N", "F"],
  "frac_coords": [[0.0000, 0.0000, 0.0000], [0.5000, 0.5000, 0.5000], [0.0000, 0.5000, 0.0000], [0.5000, 0.0000, 0.0000], [0.0000, 0.0000, 0.5000]],
  "dos_at_fermi_per_ev_fu": 3.8,
  "m_tot_mub_per_atom": 0.000,
  "density_g_cm3": 4.35,
  "crystal_system": "tetragonal"
}

***

Most stable one: (i), least stable one: (ii).

***

(i)
{
  "formula": "CsZnGeTeF",
  "functional": "PBE",
  "state": "optimized geometry",
  "lattice_angstrom": [[17.1567, 0.0000, 0.0000], [0.0000, 4.6067, 0.0000], [-0.8354, 0.0000, 3.8854]],
  "species": ["Cs", "Cs", "Zn", "Zn", "Ge", "Ge", "Te", "Te", "F", "F"],
  "frac_coords": [[0.0000, 0.0000, 0.0000], [0.5000, 0.5000, 0.0000], [0.1767, 0.5000, 0.6945], [0.6767, 0.0000, 0.6945], [0.2305, 0.0000, 0.7570], [0.7305, 0.5000, 0.7570], [0.3373, 0.0000, 0.3531], [0.8373, 0.5000, 0.3531], [0.0568, 0.5000, 0.5441], [0.5568, 0.0000, 0.5441]],
  "dos_at_fermi_per_ev_fu": 0.9,
  "m_tot_mub_per_atom": 0.000,
  "density_g_cm3": 4.52,
  "crystal_system": "monoclinic"
}

***

(ii)
{
  "formula": "CsZnGeTeF",
  "functional": "PBE",
  "state": "optimized geometry",
  "lattice_angstrom": [[4.7467, 0.0000, 0.0000], [2.1539, 4.4957, 0.0000], [0.6808, 2.1601, 7.5785]],
  "species": ["Cs", "Zn", "Ge", "Te", "F"],
  "frac_coords": [[0.0000, 0.0000, 0.0000], [0.7192, 0.4191, 0.4457], [0.2802, 0.3117, 0.3882], [0.6465, 0.8052, 0.6426], [0.3895, 0.1838, 0.1701]],
  "m_tot_mub_per_atom": 0.000,
  "density_g_cm3": 4.29,
  "crystal_system": "triclinic"
}

***

(iii)
{
  "formula": "CsZnGeTeF",
  "functional": "PBE",
  "state": "optimized geometry",
  "lattice_angstrom": [[4.2491, 0.0000, 0.0000], [0.0013, 4.6372, 0.0000], [2.1069, 1.5170, 7.6813]],
  "species": ["Cs", "Zn", "Ge", "Te", "F"],
  "frac_coords": [[0.0000, 0.0000, 0.0000], [0.6706, 0.5783, 0.6566], [0.7979, 0.3599, 0.3978], [0.2562, 0.9547, 0.4824], [0.5468, 0.5666, 0.9056]],
  "dos_at_fermi_per_ev_fu": 0.1,
  "m_tot_mub_per_atom": 0.000,
  "density_g_cm3": 4.58,
  "crystal_system": "triclinic"
}

***

Most stable one: (i), least stable one: (iii).

***

(i)
{
  "formula": "CsHOF2",
  "functional": "PBE",
  "state": "optimized geometry",
  "lattice_angstrom": [[4.9655, 0.0000, 0.0000], [0.0000, 4.9655, 0.0000], [0.0000, 0.0000, 4.2653]],
  "species": ["Cs", "H", "O", "F", "F"],
  "frac_coords": [[0.0000, 0.0000, 0.0000], [0.5000, 0.5000, 0.5000], [0.0000, 0.0000, 0.5000], [0.0000, 0.5000, 0.0000], [0.5000, 0.0000, 0.0000]],
  "dos_at_fermi_per_ev_fu": 5.0,
  "m_tot_mub_per_atom": 0.026,
  "density_g_cm3": 2.97,
  "crystal_system": "tetragonal"
}

***

(ii)
{
  "formula": "CsHOF2",
  "functional": "PBE",
  "state": "optimized geometry",
  "lattice_angstrom": [[4.9567, 0.0000, 0.0000], [0.0000, 4.9567, 0.0000], [0.0000, 0.0000, 3.0442]],
  "species": ["Cs", "H", "O", "F", "F"],
  "frac_coords": [[0.0000, 0.0000, 0.0000], [0.5000, 0.5000, 0.5000], [0.5000, 0.5000, 0.0000], [0.0000, 0.5000, 0.5000], [0.5000, 0.0000, 0.5000]],
  "dos_at_fermi_per_ev_fu": 3.2,
  "m_tot_mub_per_atom": 0.400,
  "density_g_cm3": 4.17,
  "crystal_system": "tetragonal"
}

***

Most stable one: (ii), least stable one: (i).